# 1
First-principles (PBE-GGA) data for a relaxed BaLa2Co crystal, as listed in Alexandria via LeMat-Bulk.

Values from the calculation:
As for the volume: 37.24 A^3/atom. The value obtained for the final energy is -4.78 eV/atom. Its formation energy from the elements is -0.062 eV/atom. The density of states at the Fermi level comes out at 11.41 states/eV/cell. For the energy above the most stable polymorph in this dataset, the calculation gives 6 meV per atom.

Lattice parameters (Å, degrees): 4.1472 4.1472 30.0030 90.00 90.00 120.00
With the nearest neighbours (Å) after each atom.
Space group R3m (No. 160, hexagonal axes)
Inequivalent atoms, fractional coordinates:
Ba (0.0000, 0.0000, 0.0000) x3  6 Ba 4.15, 6 La 4.24-4.34
La (0.0000, 0.0000, 0.2166) x3  3 Co 2.79
La (0.0000, 0.0000, 0.4540) x3  3 Co 2.80
Co (0.0000, 0.0000, 0.8357) x3  6 La 2.79-2.80

***

# 2
First-principles (PBE-GGA) data for a relaxed V2CrIr crystal, as listed in Alexandria via LeMat-Bulk.

Values from the calculation:
As for the volume: 13.14 A^3/atom. The value obtained for the final energy is -9.48 eV/atom. Its formation energy from the elements is -0.301 eV/atom. The density of states at the Fermi level comes out at 7.01 states/eV/cell.

Lattice parameters (Å, degrees): 4.2861 2.9414 8.3401 90.00 90.00 90.00
With the nearest neighbours (Å) after each atom.
Space group Pmma (No. 51)
Inequivalent atoms, fractional coordinates:
V (0.2500, 0.0000, 0.1133) x2  6 Cr 2.46-2.60, 2 Ir 2.67
V (0.2500, 0.0000, 0.6512) x2  2 Cr 2.39, 4 Ir 2.61
Cr (0.2500, 0.5000, 0.8768) x2  8 V 2.39-2.60
Ir (0.2500, 0.5000, 0.3812) x2  8 V 2.61-2.69, 2 Ir 2.92

***

# 3
First-principles (PBE-GGA) data for a relaxed PmGdTlCo crystal, as listed in Alexandria via LeMat-Bulk.

Values from the calculation:
As for the volume: 24.94 A^3/atom. The value obtained for the final energy is -7.16 eV/atom. Its formation energy from the elements is -0.088 eV/atom. The density of states at the Fermi level comes out at 11.36 states/eV/cell.

Lattice parameters (Å, degrees): 7.3624 7.3624 7.3624 90.00 90.00 90.00
With the nearest neighbours (Å) after each atom.
Space group F-43m (No. 216)
Inequivalent atoms, fractional coordinates:
Pm (0.0000, 0.0000, 0.0000) x4  4 Tl 3.19, 4 Co 3.19
Gd (0.0000, 0.0000, 0.5000) x4  4 Tl 3.19, 4 Co 3.19
Tl (0.2500, 0.2500, 0.2500) x4  4 Gd 3.19, 4 Pm 3.19
Co (0.2500, 0.2500, 0.7500) x4  4 Gd 3.19, 4 Pm 3.19

***

# 4
First-principles (PBE-GGA) data for a relaxed GeTePbI2 crystal, as listed in Alexandria via LeMat-Bulk.

Values from the calculation:
As for the volume: 44.72 A^3/atom. The value obtained for the final energy is -2.49 eV/atom. The density of states at the Fermi level comes out at 3.00 states/eV/cell. As for the uncorrected formation energy: 2.1 eV/f.u. For the energy above the most stable polymorph in this dataset, the calculation gives 394 meV per atom.

Lattice parameters (Å, degrees): 6.0757 6.0757 6.0575 90.00 90.00 90.00
With the nearest neighbours (Å) after each atom.
Space group P4/mmm (No. 123)
Inequivalent atoms, fractional coordinates:
Ge (0.0000, 0.0000, 0.0000) x1  8 I 4.29, 4 Te 4.30
Te (0.5000, 0.5000, 0.0000) x1  2 Pb 3.03
Pb (0.5000, 0.5000, 0.5000) x1  2 Te 3.03, 4 I 3.04
I (0.0000, 0.5000, 0.5000) x2  2 Pb 3.04

***

- What is the formula in the second record?
  V2CrIr